Entry 1:
Y5MgAl3 after structural relaxation, computed with PBE. Values from VASP.

Geometry as Quantum ESPRESSO input:
```
&SYSTEM
  ibrav = 0, nat = 18, ntyp = 3
/
ATOMIC_SPECIES
Y 88.91 Y.upf
Mg 24.30 Mg.upf
Al 26.98 Al.upf
CELL_PARAMETERS angstrom
9.062 0.000 0.000
-4.531 7.848 0.000
0.000 0.000 6.511
ATOMIC_POSITIONS angstrom
Y -1.395 2.417 1.628
Y -3.136 5.431 4.884
Y 2.791 0.000 1.628
Y 1.395 2.417 4.884
Y 0.000 5.232 0.000
Y 0.000 5.232 3.256
Y 4.531 2.616 0.000
Y 4.531 2.616 3.256
Y 6.271 0.000 4.884
Y 3.136 5.431 1.628
Mg 0.000 0.000 0.000
Mg 0.000 0.000 3.256
Al -1.607 2.784 4.884
Al -2.923 5.064 1.628
Al 3.215 0.000 4.884
Al 1.607 2.784 1.628
Al 5.847 0.000 1.628
Al 2.923 5.064 4.884
```

Values from the calculation:
Crystal system: hexagonal
Raw total energy in eV for the cell shown: -95.90
Calculated formation energy in eV/atom: -0.3118
V in Å³/atom: 25.7

=====

Entry 2:
TlFe2Ru after structural relaxation, computed with PBE. Values from VASP.

Geometry as Quantum ESPRESSO input:
```
&SYSTEM
  ibrav = 0, nat = 4, ntyp = 3
/
ATOMIC_SPECIES
Tl 204.38 Tl.upf
Fe 55.84 Fe.upf
Ru 101.07 Ru.upf
CELL_PARAMETERS angstrom
-1.973 1.973 3.899
1.973 -1.973 3.899
1.973 1.973 -3.899
ATOMIC_POSITIONS angstrom
Tl 0.000 0.000 0.000
Fe 1.973 0.000 1.949
Fe 0.000 1.973 1.949
Ru 0.000 0.000 3.899
```

Values from the calculation:
Crystal system: tetragonal
Raw total energy in eV for the cell shown: -26.61
Calculated formation energy in eV/atom: 0.4885
V in Å³/atom: 15.2

=====

Entry 3:
BaAl3 after structural relaxation, computed with PBE. Values from VASP.

Geometry as Quantum ESPRESSO input:
```
&SYSTEM
  ibrav = 0, nat = 8, ntyp = 2
/
ATOMIC_SPECIES
Ba 137.33 Ba.upf
Al 26.98 Al.upf
CELL_PARAMETERS angstrom
-2.031 2.031 13.567
2.031 -2.031 13.567
2.031 2.031 -13.567
ATOMIC_POSITIONS angstrom
Ba 0.000 0.000 3.133
Ba 0.000 0.000 24.002
Al 2.031 0.000 0.000
Al 2.031 0.000 6.784
Al 0.000 0.000 8.568
Al 0.000 2.031 0.000
Al 0.000 0.000 18.567
Al 0.000 2.031 6.784
```

Values from the calculation:
Crystal system: tetragonal
Raw total energy in eV for the cell shown: -26.31
Calculated formation energy in eV/atom: -0.0014
V in Å³/atom: 28.0

=====

Entry 4:
LiSi2 after structural relaxation, computed with PBE. Values from VASP.

Geometry as Quantum ESPRESSO input:
```
&SYSTEM
  ibrav = 0, nat = 6, ntyp = 2
/
ATOMIC_SPECIES
Li 6.94 Li.upf
Si 28.09 Si.upf
CELL_PARAMETERS angstrom
5.109 -1.363 0.000
5.109 1.363 0.000
-3.366 0.000 6.462
ATOMIC_POSITIONS angstrom
Li -0.534 0.000 1.272
Li 7.386 0.000 5.190
Si -0.068 0.000 5.650
Si 2.213 0.000 2.878
Si 4.639 0.000 3.584
Si 6.919 0.000 0.812
```

Values from the calculation:
Crystal system: monoclinic
ΔE_f (raw) in meV per atom: 83
Raw total energy in eV for the cell shown: -25.02
V in Å³/atom: 15.0

=====

Entry 5:
Cs2GeH after structural relaxation, computed with PBE. Values from VASP.

Geometry as Quantum ESPRESSO input:
```
&SYSTEM
  ibrav = 0, nat = 4, ntyp = 3
/
ATOMIC_SPECIES
Cs 132.91 Cs.upf
Ge 72.64 Ge.upf
H 1.01 H.upf
CELL_PARAMETERS angstrom
3.764 0.000 0.000
0.000 3.764 0.000
0.000 0.000 9.407
ATOMIC_POSITIONS angstrom
Cs 0.000 0.000 1.897
Cs 0.000 0.000 7.511
Ge 1.882 1.882 4.704
H 1.882 1.882 0.000
```

Values from the calculation:
Crystal system: tetragonal
Raw total energy in eV for the cell shown: -8.90
V in Å³/atom: 33.3

=====

Entry 6:
MgCdGe3 after structural relaxation, computed with PBE. Values from VASP.

Geometry as Quantum ESPRESSO input:
```
&SYSTEM
  ibrav = 0, nat = 5, ntyp = 3
/
ATOMIC_SPECIES
Mg 24.30 Mg.upf
Cd 112.41 Cd.upf
Ge 72.64 Ge.upf
CELL_PARAMETERS angstrom
5.051 0.000 0.000
0.000 5.051 0.000
0.000 0.000 5.051
ATOMIC_POSITIONS angstrom
Mg 0.000 0.000 0.000
Cd 2.526 2.526 2.526
Ge 0.000 0.000 2.526
Ge 0.000 2.526 0.000
Ge 2.526 0.000 0.000
```

Values from the calculation:
Crystal system: cubic
Raw total energy in eV for the cell shown: -13.18
Calculated formation energy in eV/atom: 0.6360
V in Å³/atom: 25.8